The following is a PBE+U calculation of a geometry-optimized K3MnCr2F9 structure, from the Alexandria database.

## Properties
Crystal system: trigonal
Space group: No. 164
Magnetic moment: 13.00 μB per formula unit
Final energy: -5.503 eV/atom

a b c (Å): 5.9901 5.9901 7.3192
angles (deg): 90.00 90.00 120.00
With the nearest neighbours (Å) after each atom.
Atoms (fractional coordinates):
K: 0.0000 0.0000 0.0000  12 F 2.98-3.00
K: 0.3333 0.6667 0.6647  12 F 2.99-3.00
K: 0.6667 0.3333 0.3353  12 F 2.99-3.00
Mn: 0.0000 0.0000 0.5000  6 F 2.12
Cr: 0.3333 0.6667 0.1635  6 F 2.10-2.12
Cr: 0.6667 0.3333 0.8365  6 F 2.10-2.12
F: 0.0000 0.5000 0.0000  2 Cr 2.10
F: 0.1669 0.3338 0.3318  1 Cr 2.12, 1 Mn 2.12
F: 0.1669 0.8331 0.3318  1 Cr 2.12, 1 Mn 2.12
F: 0.3338 0.1669 0.6682  1 Cr 2.12, 1 Mn 2.12
F: 0.5000 0.0000 0.0000  2 Cr 2.10
F: 0.5000 0.5000 0.0000  2 Cr 2.10
F: 0.6662 0.8331 0.3318  1 Cr 2.12, 1 Mn 2.12
F: 0.8331 0.1669 0.6682  1 Cr 2.12, 1 Mn 2.12
F: 0.8331 0.6662 0.6682  1 Cr 2.12, 1 Mn 2.12